TcHgIr2: optimized geometry, PBE-GGA.

Calculated values
VASP energy in eV per atom: -6.64
Spin magnetization in Bohr magnetons per cell: 0.003
Formation energy from the elements in eV/atom: 0.454

Lattice parameters (Å, degrees): 4.885 4.885 2.819 90.01 90.01 109.13
Fractional coordinates of all 4 atoms:
1 Hg 0.000 0.500 0.500
2 Ir 0.000 0.000 0.000
3 Ir 0.500 0.500 0.000
4 Tc 0.500 0.000 0.500